Record 1
A plane-wave DFT calculation with PBE was carried out for a geometry-optimized La2Cu structure.

a b c (Å): 6.3237 6.3237 6.3237
angles (deg): 60.00 60.00 60.00
Atoms (fractional coordinates):
La 0.0000 0.0000 0.0000
La 0.0000 0.0000 0.5000
La 0.0000 0.5000 0.0000
La 0.5000 0.0000 0.0000
Cu 0.3750 0.3750 0.3750
Cu 0.6250 0.6250 0.6250

Properties
Calculated volume = 178.81 Å³/cell
Size of the total moment = 0.01 μB per formula unit
Total DFT energy (no corrections) = -3.852 eV per atom
Formation energy = 0.67 eV per atom



Record 2
A plane-wave DFT calculation with PBE was carried out for a geometry-optimized MgInAgTe3 structure.

a b c (Å): 7.2341 7.2341 11.7494
angles (deg): 90.00 90.00 147.44
Atoms (fractional coordinates):
Mg 0.2188 0.7812 0.7500
Mg 0.7812 0.2188 0.2500
In 0.0000 0.0000 0.0000
In 0.0000 0.0000 0.5000
Ag 0.4764 0.5236 0.2500
Ag 0.5236 0.4764 0.7500
Te 0.1185 0.8815 0.2500
Te 0.3491 0.6509 0.0662
Te 0.3491 0.6509 0.4338
Te 0.6509 0.3491 0.5662
Te 0.6509 0.3491 0.9338
Te 0.8815 0.1185 0.7500

Properties
Calculated volume = 330.92 Å³/cell
Total DFT energy (no corrections) = -3.008 eV per atom



Record 3
A plane-wave DFT calculation with PBE was carried out for a geometry-optimized ZrTl2Fe structure.

a b c (Å): 4.9439 4.9439 4.9439
angles (deg): 60.00 60.00 60.00
Atoms (fractional coordinates):
Zr 0.0000 0.0000 0.0000
Tl 0.2500 0.2500 0.2500
Tl 0.5000 0.5000 0.5000
Fe 0.7500 0.7500 0.7500

Properties
Calculated volume = 85.44 Å³/cell
Size of the total moment = 1.76 μB per formula unit
Relative energy among the computed polymorphs = 0.000 eV per atom
Total DFT energy (no corrections) = -4.931 eV per atom



Record 4
A plane-wave DFT calculation with PBE was carried out for a geometry-optimized TmZrCS structure.

a b c (Å): 3.5122 3.5122 12.4977
angles (deg): 90.00 90.00 120.00
Atoms (fractional coordinates):
Tm 0.3333 0.6667 0.0000
Tm 0.6667 0.3333 0.5000
Zr 0.3333 0.6667 0.7053
Zr 0.6667 0.3333 0.2053
C 0.0000 0.0000 0.1099
C 0.0000 0.0000 0.6099
S 0.3333 0.6667 0.3480
S 0.6667 0.3333 0.8480

Properties
Calculated volume = 133.51 Å³/cell
Size of the total moment = 0.00 μB per formula unit
Relative energy among the computed polymorphs = 0.000 eV per atom
Total DFT energy (no corrections) = -7.897 eV per atom



Record 5
A plane-wave DFT calculation with PBE was carried out for a geometry-optimized GaFeIr2 structure.

a b c (Å): 3.0363 3.0363 6.0460
angles (deg): 90.00 90.00 90.00
Atoms (fractional coordinates):
Ga 0.0000 0.0000 0.0000
Fe 0.0000 0.0000 0.5000
Ir 0.5000 0.5000 0.2506
Ir 0.5000 0.5000 0.7494

Properties
Calculated volume = 55.74 Å³/cell
Size of the total moment = 4.21 μB per formula unit
Total DFT energy (no corrections) = -7.474 eV per atom



Record 6
A plane-wave DFT calculation with PBE was carried out for a geometry-optimized GdHoMg2Cu4 structure.

a b c (Å): 4.6883 4.6883 6.6477
angles (deg): 90.00 90.00 90.00
Atoms (fractional coordinates):
Gd 0.0000 0.0000 0.0000
Ho 0.5000 0.5000 0.5000
Mg 0.0000 0.0000 0.5000
Mg 0.5000 0.5000 0.0000
Cu 0.0000 0.5000 0.2542
Cu 0.0000 0.5000 0.7458
Cu 0.5000 0.0000 0.2542
Cu 0.5000 0.0000 0.7458

Properties
Calculated volume = 146.12 Å³/cell
Size of the total moment = 0.00 μB per formula unit
Total DFT energy (no corrections) = -3.604 eV per atom